DFT (PBE) results for a geometry-optimized PmGd2Pt structure.

## Properties
For the size of the total moment, the calculation gives 14.36 μB/cell. As for the space-group type: R-3m (166). The formation energy from the elements is -0.49 eV/atom.

a = 9.807 Å, b = 9.807 Å, c = 9.807 Å
α = 22.73°, β = 22.73°, γ = 22.73°
Fractional coordinates of all 4 atoms:
Pm 0.000 0.000 0.000
Gd 0.228 0.228 0.228
Gd 0.772 0.772 0.772
Pt 0.500 0.500 0.500

DFT (PBE) results for a geometry-optimized YCF3 structure.

## Properties
For the size of the total moment, the calculation gives 2.00 μB/cell. As for the space-group type: Pm-3m (221). The calculation puts the formation energy without anion corrections at -1.7018 eV per atom.

a = 4.414 Å, b = 4.414 Å, c = 4.414 Å
α = 90.00°, β = 90.00°, γ = 90.00°
Fractional coordinates of all 5 atoms:
Y 0.000 0.000 0.000
C 0.500 0.500 0.500
F 0.000 0.000 0.500
F 0.000 0.500 0.000
F 0.500 0.000 0.000

DFT (PBE) results for a geometry-optimized Tb4PrTmSe8 structure.

## Properties
For the size of the total moment, the calculation gives 0.00 μB/cell. As for the space-group type: R3m (160). The calculation puts the formation energy without anion corrections at -1.7137 eV per atom.

a = 8.468 Å, b = 8.468 Å, c = 8.468 Å
α = 60.22°, β = 60.22°, γ = 60.22°
Fractional coordinates of all 14 atoms:
Tb 0.000 0.000 0.000
Tb 0.121 0.625 0.625
Tb 0.625 0.121 0.625
Tb 0.625 0.625 0.121
Pr 0.248 0.248 0.248
Tm 0.625 0.625 0.625
Se 0.384 0.384 0.384
Se 0.388 0.388 0.839
Se 0.388 0.839 0.388
Se 0.397 0.863 0.863
Se 0.839 0.388 0.388
Se 0.863 0.397 0.863
Se 0.863 0.863 0.397
Se 0.868 0.868 0.868

DFT (PBE) results for a geometry-optimized TiHg2Au2 structure.

## Properties
For the size of the total moment, the calculation gives 1.71 μB/cell. As for the space-group type: I4/mmm (139). The formation energy from the elements is 0.26 eV/atom.

a = 7.807 Å, b = 7.807 Å, c = 7.807 Å
α = 151.49°, β = 151.49°, γ = 40.76°
Fractional coordinates of all 5 atoms:
Ti 0.000 0.000 0.000
Hg 0.402 0.402 0.000
Hg 0.598 0.598 0.000
Au 0.250 0.750 0.500
Au 0.750 0.250 0.500

DFT (PBE) results for a geometry-optimized MoSe structure.

## Properties
For the size of the total moment, the calculation gives 0.00 μB/cell. As for the space-group type: Amm2 (38). The calculation puts the formation energy without anion corrections at -0.1290 eV per atom.

a = 3.264 Å, b = 6.829 Å, c = 6.829 Å
α = 131.92°, β = 90.00°, γ = 90.00°
Fractional coordinates of all 6 atoms:
Mo 0.000 0.000 0.000
Mo 0.500 0.089 0.721
Mo 0.500 0.721 0.089
Se 0.000 0.085 0.421
Se 0.000 0.421 0.085
Se 0.500 0.665 0.665

DFT (PBE) results for a geometry-optimized CeSnPd2 structure.

## Properties
For the size of the total moment, the calculation gives 0.63 μB/cell. As for the space-group type: P4/mmm (123). The formation energy from the elements is -0.55 eV/atom.

a = 3.379 Å, b = 3.379 Å, c = 7.200 Å
α = 90.00°, β = 90.00°, γ = 90.00°
Fractional coordinates of all 4 atoms:
Ce 0.000 0.000 0.000
Sn 0.000 0.000 0.500
Pd 0.500 0.500 0.276
Pd 0.500 0.500 0.724

DFT (PBE) results for a geometry-optimized Pr5YAl2 structure.

## Properties
For the size of the total moment, the calculation gives 0.00 μB/cell. As for the space-group type: P6_3/mmc (194). The formation energy from the elements is -0.03 eV/atom.

a = 5.482 Å, b = 5.482 Å, c = 20.175 Å
α = 90.00°, β = 90.00°, γ = 120.00°
Fractional coordinates of all 16 atoms:
Pr 0.000 0.000 0.154
Pr 0.000 0.000 0.346
Pr 0.000 0.000 0.654
Pr 0.000 0.000 0.846
Pr 0.333 0.667 0.055
Pr 0.333 0.667 0.250
Pr 0.333 0.667 0.445
Pr 0.667 0.333 0.555
Pr 0.667 0.333 0.750
Pr 0.667 0.333 0.945
Y 0.333 0.667 0.750
Y 0.667 0.333 0.250
Al 0.333 0.667 0.602
Al 0.333 0.667 0.898
Al 0.667 0.333 0.102
Al 0.667 0.333 0.398

DFT (PBE) results for a geometry-optimized Sr2HgMo structure.

## Properties
For the size of the total moment, the calculation gives 2.11 μB/cell. As for the space-group type: R-3m (166). The formation energy from the elements is 0.69 eV/atom.

a = 10.458 Å, b = 10.458 Å, c = 10.458 Å
α = 20.36°, β = 20.36°, γ = 20.36°
Fractional coordinates of all 4 atoms:
Sr 0.245 0.245 0.245
Sr 0.755 0.755 0.755
Hg 0.000 0.000 0.000
Mo 0.500 0.500 0.500

| no. | D(E_F) (states/eV/atom) | V (Å³ per cell) | theoretical density (g/cm³) |
| --- | --- | --- | --- |
| 1 | 1.208 | 123.5 | 8.80 |
| 2 | 3.197 | 86.0 | 3.05 |
| 3 | 0.624 | 431.6 | 6.07 |
| 4 | 0.827 | 108.2 | 12.94 |
| 5 | 0.433 | 113.3 | 7.69 |
| 6 | 1.266 | 82.2 | 9.53 |
| 7 | 1.606 | 525.0 | 5.36 |
| 8 | 1.086 | 121.1 | 6.47 |